# NaTaRh2O

NaTaRh2O at its PBEsol-relaxed geometry (SCAN, Alexandria).

Results
Its formation energy from raw total energies is 6.15 eV per formula unit. The value obtained for the electronic total energy is -27.684 eV per atom. For the density of states at the Fermi level, the calculation gives 4.2 states/eV per cell.

Lattice parameters (Å, degrees): 4.515 4.515 3.671 90.00 90.00 90.00
Atoms (fractional coordinates):
1 Na 0.000 0.000 0.000
2 Ta 0.500 0.500 0.500
3 Rh 0.000 0.500 0.000
4 Rh 0.500 0.000 0.000
5 O 0.000 0.000 0.500

=====

# NaRu2O4

NaRu2O4 at its PBEsol-relaxed geometry (SCAN, Alexandria).

Results
Its formation energy from raw total energies is -9.10 eV per formula unit. The value obtained for the electronic total energy is -15.413 eV per atom. For the density of states at the Fermi level, the calculation gives 16.4 states/eV per cell.

Lattice parameters (Å, degrees): 9.369 2.759 11.156 90.00 90.00 90.00
Atoms (fractional coordinates):
1 Na 0.241 0.250 0.156
2 Na 0.259 0.750 0.656
3 Na 0.741 0.250 0.344
4 Na 0.759 0.750 0.844
5 Ru 0.060 0.250 0.383
6 Ru 0.085 0.250 0.894
7 Ru 0.415 0.750 0.394
8 Ru 0.440 0.750 0.883
9 Ru 0.560 0.250 0.117
10 Ru 0.585 0.250 0.606
11 Ru 0.915 0.750 0.106
12 Ru 0.940 0.750 0.617
13 O 0.027 0.750 0.777
14 O 0.086 0.250 0.562
15 O 0.110 0.750 0.027
16 O 0.210 0.750 0.340
17 O 0.290 0.250 0.840
18 O 0.390 0.250 0.527
19 O 0.414 0.750 0.062
20 O 0.473 0.250 0.277
21 O 0.527 0.750 0.723
22 O 0.586 0.250 0.938
23 O 0.610 0.750 0.473
24 O 0.710 0.750 0.160
25 O 0.790 0.250 0.660
26 O 0.890 0.250 0.973
27 O 0.914 0.750 0.438
28 O 0.973 0.250 0.223

=====

# Na2RuO4

Na2RuO4 at its PBEsol-relaxed geometry (SCAN, Alexandria).

Results
Its formation energy from raw total energies is -10.39 eV per formula unit. The value obtained for the electronic total energy is -11.225 eV per atom.

Lattice parameters (Å, degrees): 10.683 6.993 10.887 90.00 119.43 90.00
Atoms (fractional coordinates):
1 Na 0.149 0.084 0.079
2 Na 0.149 0.416 0.579
3 Na 0.195 0.546 0.089
4 Na 0.195 0.954 0.589
5 Na 0.314 0.017 0.914
6 Na 0.314 0.483 0.414
7 Na 0.345 0.503 0.899
8 Na 0.345 0.997 0.399
9 Na 0.655 0.003 0.601
10 Na 0.655 0.497 0.101
11 Na 0.686 0.517 0.586
12 Na 0.686 0.983 0.086
13 Na 0.805 0.046 0.411
14 Na 0.805 0.454 0.911
15 Na 0.851 0.584 0.421
16 Na 0.851 0.916 0.921
17 Ru 0.000 0.246 0.751
18 Ru 0.000 0.254 0.251
19 Ru 0.000 0.746 0.749
20 Ru 0.000 0.754 0.249
21 Ru 0.498 0.725 0.751
22 Ru 0.498 0.775 0.251
23 Ru 0.502 0.225 0.749
24 Ru 0.502 0.275 0.249
25 O 0.019 0.143 0.613
26 O 0.019 0.357 0.113
27 O 0.019 0.508 0.342
28 O 0.019 0.992 0.842
29 O 0.162 0.189 0.407
30 O 0.162 0.311 0.907
31 O 0.173 0.736 0.265
32 O 0.173 0.764 0.765
33 O 0.333 0.638 0.613
34 O 0.333 0.862 0.113
35 O 0.337 0.223 0.753
36 O 0.337 0.277 0.253
37 O 0.451 0.526 0.150
38 O 0.451 0.974 0.650
39 O 0.492 0.684 0.399
40 O 0.492 0.816 0.899
41 O 0.508 0.184 0.101
42 O 0.508 0.316 0.601
43 O 0.549 0.026 0.350
44 O 0.549 0.474 0.850
45 O 0.663 0.723 0.747
46 O 0.663 0.777 0.247
47 O 0.667 0.138 0.887
48 O 0.667 0.362 0.387
49 O 0.827 0.236 0.235
50 O 0.827 0.264 0.735
51 O 0.838 0.689 0.093
52 O 0.838 0.811 0.593
53 O 0.981 0.008 0.158
54 O 0.981 0.492 0.658
55 O 0.981 0.643 0.887
56 O 0.981 0.857 0.387

=====

# Na2SO4

Na2SO4 at its PBEsol-relaxed geometry (SCAN, Alexandria).

Results
Its formation energy from raw total energies is -14.31 eV per formula unit. The value obtained for the electronic total energy is -8.185 eV per atom. For the density of states at the Fermi level, the calculation gives 0.0 states/eV per cell.

Lattice parameters (Å, degrees): 5.276 5.276 6.945 90.00 90.00 115.77
Atoms (fractional coordinates):
1 Na 0.000 0.000 0.000
2 Na 0.000 0.000 0.500
3 Na 0.313 0.687 0.750
4 Na 0.687 0.313 0.250
5 S 0.350 0.650 0.250
6 S 0.650 0.350 0.750
7 O 0.231 0.336 0.250
8 O 0.254 0.746 0.076
9 O 0.254 0.746 0.424
10 O 0.336 0.231 0.750
11 O 0.664 0.769 0.250
12 O 0.746 0.254 0.576
13 O 0.746 0.254 0.924
14 O 0.769 0.664 0.750

=====

# Na2S2O7

Na2S2O7 at its PBEsol-relaxed geometry (SCAN, Alexandria).

Results
Its formation energy from raw total energies is -20.23 eV per formula unit. The value obtained for the electronic total energy is -8.322 eV per atom. For the density of states at the Fermi level, the calculation gives 0.0 states/eV per cell.

Lattice parameters (Å, degrees): 6.778 6.847 6.888 83.47 63.10 83.46
Atoms (fractional coordinates):
1 Na 0.119 0.167 0.255
2 Na 0.274 0.360 0.674
3 Na 0.726 0.640 0.326
4 Na 0.881 0.833 0.745
5 S 0.231 0.660 0.252
6 S 0.357 0.858 0.815
7 S 0.643 0.142 0.185
8 S 0.769 0.340 0.748
9 O 0.084 0.831 0.350
10 O 0.113 0.512 0.219
11 O 0.204 0.741 0.793
12 O 0.265 0.053 0.892
13 O 0.376 0.584 0.351
14 O 0.415 0.738 0.011
15 O 0.420 0.146 0.362
16 O 0.580 0.854 0.638
17 O 0.585 0.262 0.989
18 O 0.624 0.416 0.649
19 O 0.735 0.947 0.108
20 O 0.796 0.259 0.207
21 O 0.887 0.488 0.781
22 O 0.916 0.169 0.650

=====

# Na2SO4

Na2SO4 at its PBEsol-relaxed geometry (SCAN, Alexandria).

Results
Its formation energy from raw total energies is -14.29 eV per formula unit. The value obtained for the electronic total energy is -8.182 eV per atom. For the density of states at the Fermi level, the calculation gives 0.0 states/eV per cell.

Lattice parameters (Å, degrees): 9.530 6.983 5.235 90.00 90.00 90.00
Atoms (fractional coordinates):
1 Na 0.000 0.000 0.000
2 Na 0.000 0.500 0.000
3 Na 0.145 0.250 0.486
4 Na 0.355 0.750 0.986
5 Na 0.500 0.000 0.500
6 Na 0.500 0.500 0.500
7 Na 0.645 0.250 0.014
8 Na 0.855 0.750 0.514
9 S 0.178 0.750 0.491
10 S 0.322 0.250 0.991
11 S 0.678 0.750 0.009
12 S 0.822 0.250 0.509
13 O 0.121 0.577 0.365
14 O 0.121 0.923 0.365
15 O 0.137 0.750 0.765
16 O 0.165 0.250 0.966
17 O 0.335 0.750 0.466
18 O 0.363 0.250 0.265
19 O 0.379 0.077 0.865
20 O 0.379 0.423 0.865
21 O 0.621 0.577 0.135
22 O 0.621 0.923 0.135
23 O 0.637 0.750 0.735
24 O 0.665 0.250 0.534
25 O 0.835 0.750 0.034
26 O 0.863 0.250 0.235
27 O 0.879 0.077 0.635
28 O 0.879 0.423 0.635

=====

> Which formula does entry 1 have?

NaTaRh2O